No. 1
Material: Cd2GeTeS
Method: DFT, GGA-PBE
State: optimized geometry

Results
Its density of states at the Fermi level is 3.58 states/eV/f.u. The value obtained for the energy is -10.35 eV per formula unit. As for the symmetry: P4/mmm.

Lattice parameters (Å, degrees): 5.542 5.542 5.269 90.00 90.00 90.00
Sites, in units of the cell vectors:
Cd1 0.000 0.500 0.000
Cd2 0.500 0.000 0.000
Ge1 0.000 0.000 0.500
Te1 0.500 0.500 0.000
S1 0.500 0.500 0.500

No. 2
Material: Cd2GeSb
Method: DFT, GGA-PBE
State: optimized geometry

Results
Its density of states at the Fermi level is 2.66 states/eV/f.u. As for the symmetry: I-42d. The value obtained for the energy above the most stable polymorph in this dataset is 0.0 kJ per mole of atoms.

Lattice parameters (Å, degrees): 6.434 6.434 6.434 102.82 102.82 123.79
Sites, in units of the cell vectors:
Cd1 0.110 0.625 0.985
Cd2 0.375 0.360 0.485
Cd3 0.640 0.125 0.015
Cd4 0.875 0.890 0.515
Ge1 0.000 0.000 0.000
Ge2 0.750 0.250 0.500
Sb1 0.250 0.750 0.500
Sb2 0.500 0.500 0.000

No. 3
Material: Cd2GeSb
Method: DFT, GGA-PBE
State: optimized geometry

Results
Its density of states at the Fermi level is 1.59 states/eV/f.u. As for the symmetry: Fm-3m. The value obtained for the energy above the most stable polymorph in this dataset is 5.1 kJ per mole of atoms.

Lattice parameters (Å, degrees): 5.125 5.125 5.125 60.00 60.00 60.00
Sites, in units of the cell vectors:
Cd1 0.250 0.250 0.250
Cd2 0.750 0.750 0.750
Ge1 0.000 0.000 0.000
Sb1 0.500 0.500 0.500

No. 4
Material: Cd12Ge5Sb3
Method: DFT, GGA-PBE
State: optimized geometry

Results
Its density of states at the Fermi level is 8.98 states/eV/f.u. The value obtained for the energy is -42.97 eV per formula unit. As for the symmetry: Ia-3d.

Lattice parameters (Å, degrees): 14.263 14.263 14.263 109.47 109.47 109.47
Sites, in units of the cell vectors:
Cd1 0.045 0.219 0.119
Cd2 0.045 0.326 0.926
Cd3 0.074 0.619 0.400
Cd4 0.074 0.955 0.674
Cd5 0.100 0.719 0.674
Cd6 0.100 0.881 0.426
Cd7 0.119 0.045 0.219
Cd8 0.119 0.574 0.900
Cd9 0.174 0.219 0.600
Cd10 0.174 0.455 0.574
Cd11 0.219 0.119 0.045
Cd12 0.219 0.600 0.174
Cd13 0.281 0.326 0.900
Cd14 0.281 0.455 0.381
Cd15 0.326 0.900 0.281
Cd16 0.326 0.926 0.045
Cd17 0.381 0.281 0.455
Cd18 0.381 0.600 0.926
Cd19 0.400 0.074 0.619
Cd20 0.400 0.826 0.781
Cd21 0.426 0.100 0.881
Cd22 0.426 0.826 0.545
Cd23 0.455 0.381 0.281
Cd24 0.455 0.574 0.174
Cd25 0.545 0.426 0.826
Cd26 0.545 0.619 0.719
Cd27 0.574 0.174 0.455
Cd28 0.574 0.900 0.119
Cd29 0.600 0.174 0.219
Cd30 0.600 0.926 0.381
Cd31 0.619 0.400 0.074
Cd32 0.619 0.719 0.545
Cd33 0.674 0.074 0.955
Cd34 0.674 0.100 0.719
Cd35 0.719 0.545 0.619
Cd36 0.719 0.674 0.100
Cd37 0.781 0.400 0.826
Cd38 0.781 0.881 0.955
Cd39 0.826 0.545 0.426
Cd40 0.826 0.781 0.400
Cd41 0.881 0.426 0.100
Cd42 0.881 0.955 0.781
Cd43 0.900 0.119 0.574
Cd44 0.900 0.281 0.326
Cd45 0.926 0.045 0.326
Cd46 0.926 0.381 0.600
Cd47 0.955 0.674 0.074
Cd48 0.955 0.781 0.881
Ge1 0.000 0.000 0.000
Ge2 0.000 0.000 0.500
Ge3 0.000 0.500 0.000
Ge4 0.000 0.500 0.500
Ge5 0.125 0.750 0.875
Ge6 0.125 0.875 0.250
Ge7 0.250 0.125 0.875
Ge8 0.250 0.625 0.375
Ge9 0.375 0.250 0.625
Ge10 0.375 0.625 0.750
Ge11 0.500 0.000 0.000
Ge12 0.500 0.000 0.500
Ge13 0.500 0.500 0.000
Ge14 0.500 0.500 0.500
Ge15 0.625 0.375 0.250
Ge16 0.625 0.750 0.375
Ge17 0.750 0.375 0.625
Ge18 0.750 0.875 0.125
Ge19 0.875 0.125 0.750
Ge20 0.875 0.250 0.125
Sb1 0.125 0.250 0.375
Sb2 0.125 0.375 0.750
Sb3 0.250 0.375 0.125
Sb4 0.250 0.875 0.625
Sb5 0.375 0.125 0.250
Sb6 0.375 0.750 0.125
Sb7 0.625 0.250 0.875
Sb8 0.625 0.875 0.750
Sb9 0.750 0.125 0.375
Sb10 0.750 0.625 0.875
Sb11 0.875 0.625 0.250
Sb12 0.875 0.750 0.625

No. 5
Material: Cd2GeSb2
Method: DFT, GGA-PBE
State: optimized geometry

Results
Its density of states at the Fermi level is 2.35 states/eV/f.u. As for the symmetry: P4/mbm. The value obtained for the energy above the most stable polymorph in this dataset is 0.0 kJ per mole of atoms.

Lattice parameters (Å, degrees): 8.172 8.172 3.902 90.00 90.00 90.00
Sites, in units of the cell vectors:
Cd1 0.128 0.372 0.000
Cd2 0.372 0.872 0.000
Cd3 0.628 0.128 0.000
Cd4 0.872 0.628 0.000
Ge1 0.000 0.000 0.500
Ge2 0.500 0.500 0.500
Sb1 0.180 0.680 0.500
Sb2 0.320 0.180 0.500
Sb3 0.680 0.820 0.500
Sb4 0.820 0.320 0.500

No. 6
Material: Cd2GeSb2
Method: DFT, GGA-PBE
State: optimized geometry

Results
Its density of states at the Fermi level is 2.77 states/eV/f.u. As for the symmetry: I4/mmm. The value obtained for the energy above the most stable polymorph in this dataset is 3.4 kJ per mole of atoms.

Lattice parameters (Å, degrees): 8.194 8.194 8.194 150.60 150.60 42.06
Sites, in units of the cell vectors:
Cd1 0.250 0.750 0.500
Cd2 0.750 0.250 0.500
Ge1 0.000 0.000 0.000
Sb1 0.401 0.401 0.000
Sb2 0.599 0.599 0.000

No. 7
Material: CdGeSb3
Method: DFT, GGA-PBE
State: optimized geometry

Results
Its density of states at the Fermi level is 5.07 states/eV/f.u. As for the symmetry: Pm-3m. The value obtained for the energy above the most stable polymorph in this dataset is 26.3 kJ per mole of atoms.

Lattice parameters (Å, degrees): 5.482 5.482 5.482 90.00 90.00 90.00
Sites, in units of the cell vectors:
Cd1 0.000 0.000 0.000
Ge1 0.500 0.500 0.500
Sb1 0.000 0.000 0.500
Sb2 0.000 0.500 0.000
Sb3 0.500 0.000 0.000

No. 8
Material: Cd12GeSb6
Method: DFT, GGA-PBE
State: optimized geometry

Results
Its density of states at the Fermi level is 5.09 states/eV/f.u. The value obtained for the energy is -39.65 eV per formula unit. As for the symmetry: R-3.

Lattice parameters (Å, degrees): 8.421 8.421 8.421 99.07 99.07 99.07
Sites, in units of the cell vectors:
Cd1 0.049 0.321 0.919
Cd2 0.081 0.951 0.679
Cd3 0.192 0.566 0.434
Cd4 0.321 0.919 0.049
Cd5 0.434 0.192 0.566
Cd6 0.434 0.566 0.808
Cd7 0.566 0.434 0.192
Cd8 0.566 0.808 0.434
Cd9 0.679 0.081 0.951
Cd10 0.808 0.434 0.566
Cd11 0.919 0.049 0.321
Cd12 0.951 0.679 0.081
Ge1 0.500 0.500 0.500
Sb1 0.095 0.641 0.786
Sb2 0.214 0.905 0.359
Sb3 0.359 0.214 0.905
Sb4 0.641 0.786 0.095
Sb5 0.786 0.095 0.641
Sb6 0.905 0.359 0.214

No. 9
Material: CdGeSb3
Method: DFT, GGA-PBE
State: optimized geometry

Results
Its density of states at the Fermi level is 4.99 states/eV/f.u. As for the symmetry: Pm-3m. The value obtained for the energy above the most stable polymorph in this dataset is 0.0 kJ per mole of atoms.

Lattice parameters (Å, degrees): 5.384 5.384 5.384 90.00 90.00 90.00
Sites, in units of the cell vectors:
Cd1 0.000 0.000 0.000
Ge1 0.500 0.500 0.500
Sb1 0.000 0.500 0.500
Sb2 0.500 0.000 0.500
Sb3 0.500 0.500 0.000

No. 10
Material: CdGeSb2Te
Method: DFT, GGA-PBE
State: optimized geometry

Results
Its density of states at the Fermi level is 5.11 states/eV/f.u. As for the symmetry: P4/mmm. The value obtained for the energy above the most stable polymorph in this dataset is 0.0 kJ per mole of atoms.

Lattice parameters (Å, degrees): 5.417 5.417 5.383 90.00 90.00 90.00
Sites, in units of the cell vectors:
Cd1 0.000 0.000 0.000
Ge1 0.500 0.500 0.500
Sb1 0.000 0.500 0.500
Sb2 0.500 0.000 0.500
Te1 0.500 0.500 0.000

The evaluated magnetization for the records listed, in turn: 0.8, 0.0, 0.0, 0.0, 0.0, 0.0, 0.0, 0.0, 0.0, 0.0 μB per formula unit.